TbNd4Sc after structural relaxation. Source: Alexandria via LeMat-Bulk, functional PBE.

a b c (Å): 6.2065 6.2065 6.2178
angles (deg): 99.50 80.50 60.19
With the nearest neighbours (Å) after each atom.
Fractional positions:
Nd: 0.8370 0.8372 0.5001  7 Nd 3.50-3.63, 2 Sc 3.57, 3 Tb 3.57-3.62
Nd: 0.3334 0.3335 0.0000  7 Nd 3.58-3.61, 3 Sc 3.58-3.59, 2 Tb 3.59
Nd: 0.1630 0.1628 0.4999  7 Nd 3.50-3.63, 2 Sc 3.57, 3 Tb 3.57-3.62
Nd: 0.6666 0.6665 0.0000  7 Nd 3.58-3.61, 3 Sc 3.58-3.59, 2 Tb 3.59
Sc: 0.0000 0.0000 0.0000  10 Nd 3.57-3.59, 2 Tb 3.60
Tb: 0.5000 0.5000 0.5000  10 Nd 3.57-3.62, 2 Sc 3.60

Properties
Energy of formation: 0.036 eV/atom
Energy relative to the lowest polymorph listed for this composition: 0 meV per atom


TbPm5Tm2 after structural relaxation. Source: Alexandria via LeMat-Bulk, functional PBE.

a b c (Å): 14.3572 14.3572 9.2824
angles (deg): 63.45 63.45 123.40
With the nearest neighbours (Å) after each atom.
Fractional positions:
Tb: 0.5511 0.1361 0.3127  8 Pm 3.55-3.65, 2 Tb 3.60, 2 Tm 3.66
Tb: 0.1361 0.5510 0.8128  8 Pm 3.55-3.65, 2 Tb 3.60, 2 Tm 3.66
Tm: 0.3870 0.3010 0.8121  12 Pm 3.54-3.69
Tm: 0.3010 0.3870 0.3121  12 Pm 3.54-3.69
Tm: 0.6349 0.0519 0.8130  8 Pm 3.55-3.65, 2 Tm 3.57, 2 Tb 3.66
Tm: 0.0519 0.6349 0.3130  8 Pm 3.55-3.65, 2 Tm 3.57, 2 Tb 3.66
Pm: 0.5125 0.6791 0.3073  4 Tm 3.54-3.69, 7 Pm 3.58-3.70, 1 Tb 3.65
Pm: 0.8862 0.8019 0.8121  8 Pm 3.58-3.68, 4 Tm 3.60-3.66
Pm: 0.8019 0.8862 0.3121  8 Pm 3.58-3.68, 4 Tm 3.60-3.66
Pm: 0.0089 0.1755 0.3170  4 Tm 3.54-3.69, 7 Pm 3.58-3.70, 1 Tb 3.64
Pm: 0.2607 0.9243 0.3138  4 Tm 3.55-3.66, 3 Tb 3.55-3.64, 5 Pm 3.59-3.67
Pm: 0.9243 0.2607 0.8138  4 Tm 3.55-3.66, 3 Tb 3.55-3.64, 5 Pm 3.59-3.67
Pm: 0.7628 0.4263 0.3119  4 Tm 3.55-3.66, 3 Tb 3.55-3.64, 5 Pm 3.59-3.68
Pm: 0.1755 0.0089 0.8170  4 Tm 3.54-3.69, 7 Pm 3.58-3.70, 1 Tb 3.64
Pm: 0.6791 0.5125 0.8073  4 Tm 3.54-3.69, 7 Pm 3.58-3.70, 1 Tb 3.65
Pm: 0.4263 0.7628 0.8119  4 Tm 3.55-3.66, 3 Tb 3.55-3.64, 5 Pm 3.59-3.68

Properties
Energy of formation: 0.020 eV/atom
Energy relative to the lowest polymorph listed for this composition: 4 meV per atom


Ce2SiRu after structural relaxation. Source: Alexandria via LeMat-Bulk, functional PBE.

a b c (Å): 4.3114 4.3114 5.6583
angles (deg): 90.00 112.39 120.01
With the nearest neighbours (Å) after each atom.
Fractional positions:
Si: 0.7205 0.6103 0.3308  3 Ru 2.50
Ru: 0.0238 0.2618 0.2856  3 Si 2.50
Ce: 0.6037 0.0518 0.6555  3 Ce 2.98, 3 Si 2.99, 4 Ru 3.12-3.20
Ce: 0.1520 0.8260 0.9781  3 Ru 2.94, 3 Ce 2.98, 4 Si 3.07-3.29

Properties
Formation energy (no corrections): -55 kJ/mol of atoms
Energy relative to the lowest polymorph listed for this composition: 0 meV per atom


PrSm2Dy8 after structural relaxation. Source: Alexandria via LeMat-Bulk, functional PBE.

a b c (Å): 6.6839 10.2731 10.2731
angles (deg): 37.89 59.20 59.20
With the nearest neighbours (Å) after each atom.
Fractional positions:
Dy: 0.7682 0.1740 0.6460  5 Dy 3.15-3.52, 1 Pr 3.39, 1 Sm 3.42
Dy: 0.2318 0.3540 0.8260  5 Dy 3.15-3.52, 1 Pr 3.39, 1 Sm 3.42
Dy: 0.8177 0.2434 0.2434  5 Dy 3.27-3.45, 4 Sm 3.34-3.54
Dy: 0.1823 0.7566 0.7566  5 Dy 3.27-3.45, 4 Sm 3.34-3.54
Dy: 0.2318 0.8260 0.3540  5 Dy 3.15-3.52, 1 Pr 3.39, 1 Sm 3.42
Dy: 0.7682 0.6460 0.1740  5 Dy 3.15-3.52, 1 Pr 3.39, 1 Sm 3.42
Dy: 0.2700 0.4123 0.4123  8 Dy 3.34-3.73, 1 Sm 3.66, 2 Pr 3.74
Dy: 0.7300 0.5877 0.5877  8 Dy 3.34-3.73, 1 Sm 3.66, 2 Pr 3.74
Sm: 0.3859 0.2056 0.2056  7 Dy 3.34-3.66
Sm: 0.6141 0.7944 0.7944  7 Dy 3.34-3.66
Pr: 0.0000 0.0000 0.0000  8 Dy 3.39-3.74

Properties
Energy of formation: 0.163 eV/atom
Energy relative to the lowest polymorph listed for this composition: 50 meV per atom


RbPtSe3 after structural relaxation. Source: Alexandria via LeMat-Bulk, functional PBE.

a b c (Å): 6.5568 6.5568 8.9757
angles (deg): 68.58 68.58 60.00
With the nearest neighbours (Å) after each atom.
Fractional positions:
Pt: 0.3339 0.3339 0.9983  6 Se 2.51
Pt: 0.6661 0.6661 0.0017  6 Se 2.51
Se: 0.4384 0.6819 0.8222  2 Pt 2.51
Se: 0.9426 0.5616 0.1778  2 Pt 2.51
Se: 0.0574 0.4384 0.8222  2 Pt 2.51
Se: 0.3181 0.9426 0.1778  2 Pt 2.51
Se: 0.5616 0.3181 0.1778  2 Pt 2.51
Se: 0.6819 0.0574 0.8222  2 Pt 2.51
Rb: 0.8468 0.8468 0.4594  6 Se 3.38-3.59
Rb: 0.1532 0.1532 0.5406  6 Se 3.38-3.59

Properties
Formation energy (no corrections): -41 kJ/mol of atoms


LaCe2Tc after structural relaxation. Source: Alexandria via LeMat-Bulk, functional PBE.

a b c (Å): 4.6497 4.6497 5.8950
angles (deg): 66.77 66.77 60.00
With the nearest neighbours (Å) after each atom.
Fractional positions:
Ce: 0.2651 0.2651 0.2046  3 Tc 2.89, 3 La 3.10
Ce: 0.7349 0.7349 0.7954  3 Tc 2.89, 3 La 3.10
La: 0.5000 0.5000 0.5000  6 Ce 3.10
Tc: 0.0000 0.0000 0.0000  6 Ce 2.89

Properties
Energy of formation: 0.093 eV/atom
Energy relative to the lowest polymorph listed for this composition: 152 meV per atom


Pr5Nd4Ho after structural relaxation. Source: Alexandria via LeMat-Bulk, functional PBE.

a b c (Å): 6.3299 8.1617 8.1617
angles (deg): 81.35 67.18 67.18
With the nearest neighbours (Å) after each atom.
Fractional positions:
Pr: 0.7790 0.3777 0.9995  1 Ho 3.28, 2 Nd 3.32, 3 Pr 3.34-3.66
Pr: 0.7785 0.0005 0.3777  1 Ho 3.28, 2 Nd 3.32, 3 Pr 3.34-3.66
Pr: 0.1567 0.9995 0.6223  1 Ho 3.28, 2 Nd 3.32, 3 Pr 3.34-3.66
Pr: 0.6904 0.0000 0.0000  1 Ho 2.94
Pr: 0.1562 0.6223 0.0005  1 Ho 3.28, 2 Nd 3.32, 3 Pr 3.34-3.66
Nd: 0.4305 0.3255 0.6750  2 Pr 3.32, 1 Ho 3.69, 1 Nd 3.72
Nd: 0.7560 0.6750 0.6745  2 Pr 3.32, 1 Ho 3.69, 1 Nd 3.72
Nd: 0.4310 0.6745 0.3250  2 Pr 3.32, 1 Ho 3.69, 1 Nd 3.72
Nd: 0.1055 0.3250 0.3255  2 Pr 3.32, 1 Ho 3.69, 1 Nd 3.72
Ho: 0.2265 0.0000 0.0000  5 Pr 2.94-3.28

Properties
Energy of formation: 0.219 eV/atom
Energy relative to the lowest polymorph listed for this composition: 207 meV per atom


PmAgGeSb after structural relaxation. Source: Alexandria via LeMat-Bulk, functional PBE.

a b c (Å): 5.1280 5.1280 5.1280
angles (deg): 60.00 60.00 60.00
With the nearest neighbours (Å) after each atom.
Fractional positions:
Ag: 0.2500 0.2500 0.2500  4 Pm 3.14, 4 Sb 3.14
Ge: 0.7500 0.7500 0.7500  4 Sb 3.14, 4 Pm 3.14
Pm: 0.0000 0.0000 0.0000  4 Ge 3.14, 4 Ag 3.14
Sb: 0.5000 0.5000 0.5000  4 Ag 3.14, 4 Ge 3.14

Properties
Formation energy (no corrections): -21 kJ/mol of atoms


CrCd2As after structural relaxation. Source: Alexandria via LeMat-Bulk, functional PBE.

a b c (Å): 3.3316 3.3316 7.0761
angles (deg): 90.00 90.00 90.00
With the nearest neighbours (Å) after each atom.
Fractional positions:
As: 0.5000 0.5000 0.6804  4 Cr 2.52
Cd: 0.0000 0.0000 0.9934  8 Cd 3.07-3.33, 1 Cr 3.11, 4 As 3.23
Cd: 0.5000 0.5000 0.2716  1 As 2.89, 4 Cd 3.07, 4 Cr 3.09
Cr: 0.0000 0.0000 0.5545  4 As 2.52

Properties
Energy of formation: 0.130 eV/atom


RbAlI2O after structural relaxation. Source: Alexandria via LeMat-Bulk, functional PBE.

a b c (Å): 6.1515 6.1515 3.5991
angles (deg): 90.00 90.00 90.00
With the nearest neighbours (Å) after each atom.
Fractional positions:
I: 0.0000 0.5000 0.0000  2 Al 3.08
I: 0.5000 0.0000 0.0000  2 Al 3.08
Rb: 0.5000 0.5000 0.5000  8 I 3.56, 2 Rb 3.60
Al: 0.0000 0.0000 0.0000  2 O 1.80
O: 0.0000 0.0000 0.5000  2 Al 1.80

Properties
Formation energy (no corrections): -124 kJ/mol of atoms
Energy relative to the lowest polymorph listed for this composition: 0 meV per atom


Tl2ReHg after structural relaxation. Source: Alexandria via LeMat-Bulk, functional PBE.

a b c (Å): 7.6955 7.6955 4.9184
angles (deg): 71.36 71.36 21.67
With the nearest neighbours (Å) after each atom.
Fractional positions:
Tl: 0.5731 0.5731 0.4271  2 Tl 2.89, 2 Re 2.91
Tl: 0.9269 0.9269 0.0729  2 Tl 2.89, 2 Re 2.91
Re: 0.2500 0.2500 0.2500  4 Hg 2.85, 2 Re 2.89, 4 Tl 2.91
Hg: 0.7500 0.7500 0.7500  4 Re 2.85, 2 Hg 2.89

Properties
Energy of formation: 0.690 eV/atom
Energy relative to the lowest polymorph listed for this composition: 0 meV per atom


Rh3Br after structural relaxation. Source: Alexandria via LeMat-Bulk, functional PBE.

a b c (Å): 6.2459 6.2459 7.6766
angles (deg): 90.00 90.00 120.00
With the nearest neighbours (Å) after each atom.
Fractional positions:
Rh: 0.5000 0.0000 0.0000  2 Br 2.63, 4 Rh 2.65
Rh: 0.6738 0.8369 0.7500  2 Br 2.61, 4 Rh 2.65
Rh: 0.5000 0.5000 0.0000  2 Br 2.63, 4 Rh 2.65
Rh: 0.8369 0.6738 0.2500  2 Br 2.61, 4 Rh 2.65
Rh: 0.5000 0.5000 0.5000  2 Br 2.63, 4 Rh 2.65
Rh: 0.0000 0.5000 0.5000  2 Br 2.63, 4 Rh 2.65
Rh: 0.1631 0.8369 0.7500  2 Br 2.61, 4 Rh 2.65
Rh: 0.3262 0.1631 0.2500  2 Br 2.61, 4 Rh 2.65
Rh: 0.1631 0.3262 0.7500  2 Br 2.61, 4 Rh 2.65
Rh: 0.0000 0.5000 0.0000  2 Br 2.63, 4 Rh 2.65
Rh: 0.5000 0.0000 0.5000  2 Br 2.63, 4 Rh 2.65
Rh: 0.8369 0.1631 0.2500  2 Br 2.61, 4 Rh 2.65
Br: 0.6667 0.3333 0.7500  6 Rh 2.63
Br: 0.0000 0.0000 0.5000  6 Rh 2.61
Br: 0.0000 0.0000 0.0000  6 Rh 2.61
Br: 0.3333 0.6667 0.2500  6 Rh 2.63

Properties
Formation energy (no corrections): 68 kJ/mol of atoms
Energy relative to the lowest polymorph listed for this composition: 225 meV per atom


| no. | final energy (eV/atom) | size of the total moment (μB/f.u.) | Fermi-level density of states (states/eV/cell) |
| --- | --- | --- | --- |
| 1 | -4.970 | 0.00 | 8.25 |
| 2 | -4.646 | 0.00 | 25.48 |
| 3 | -7.216 | 0.00 | 6.17 |
| 4 | -4.477 | 0.00 | 16.85 |
| 5 | -3.913 | 0.00 | 6.99 |
| 6 | -6.697 | 0.00 | 6.51 |
| 7 | -4.535 | 0.00 | 14.48 |
| 8 | -4.304 | 0.00 | 2.92 |
| 9 | -3.895 | 2.67 | 2.88 |
| 10 | -3.840 | 0.00 | 1.28 |
| 11 | -3.681 | 0.12 | 3.91 |
| 12 | -5.227 | 0.00 | 21.67 |